Record 1
Here is TlTcMo2Cl after structural relaxation from Alexandria via LeMat-Bulk. Energies are from GGA-PBE.

abc: 5.1347 5.0433 5.1347
angles: 90.00 90.00 90.00
Closest atoms and distances in Å follow each position.
Positions (direct):
Mo (0.5000, 0.0000, 0.0000)  2 Tl 2.57
Mo (0.0000, 0.0000, 0.5000)  2 Tl 2.57
Cl (0.5000, 0.5000, 0.5000)  8 Mo 3.60, 4 Tc 3.63
Tl (0.0000, 0.0000, 0.0000)  2 Tc 2.52, 4 Mo 2.57
Tc (0.0000, 0.5000, 0.0000)  2 Tl 2.52

Calculated total energy, eV/atom: -4.392

Record 2
Here is ReSi2Pt after structural relaxation from Alexandria via LeMat-Bulk. Energies are from GGA-PBE.

abc: 8.0776 8.0776 8.0776
angles: 20.53 20.53 20.53
Closest atoms and distances in Å follow each position.
Positions (direct):
Re (0.7500, 0.7500, 0.7500)  6 Si 2.55
Pt (0.2500, 0.2500, 0.2500)  6 Si 2.62, 6 Pt 2.88
Si (0.4980, 0.4980, 0.4980)  3 Re 2.55, 3 Pt 2.62
Si (0.0020, 0.0020, 0.0020)  3 Re 2.55, 3 Pt 2.62

Distance to the lowest polymorph of the same formula, eV per atom: 0.135